Computed, not measured: a geometry-optimized CsTe3As structure at the PBE-GGA level of DFT.

Geometry as POSCAR:
```
CsTe3As
1.0
7.021 0.000 -1.667
0.000 6.028 0.000
-0.889 0.000 10.559
Cs Te As
2 6 2
Direct
0.768 0.750 0.233
0.232 0.250 0.767
0.705 0.250 0.455
0.776 0.998 0.861
0.776 0.502 0.861
0.295 0.750 0.545
0.224 0.002 0.139
0.224 0.498 0.139
0.331 0.250 0.370
0.669 0.750 0.630
```

Computed properties:
Its calculated volume is 438 Å³ per cell. The energy relative to the lowest polymorph listed for this composition comes out at 0 meV/atom. The formation energy without anion corrections is -0.314 eV per atom.



Computed, not measured: a geometry-optimized Cs4KRb3 structure at the PBE-GGA level of DFT.

Geometry as POSCAR:
```
Cs4KRb3
1.0
-4.126 -6.696 3.420
0.412 -5.268 -9.815
14.680 -6.852 4.294
Rb Cs K
6 8 2
Direct
0.601 0.500 0.750
0.404 0.000 0.250
0.000 0.000 0.000
0.399 0.500 0.250
0.000 0.000 0.500
0.596 0.000 0.750
0.500 0.255 0.500
0.911 0.255 0.250
0.500 0.745 0.000
0.089 0.255 0.750
0.911 0.745 0.250
0.500 0.255 0.000
0.089 0.745 0.750
0.500 0.745 0.500
0.000 0.500 0.000
0.000 0.500 0.500
```

Computed properties:
Its calculated volume is 1602 Å³ per cell. Its formation energy is 0.0 eV/f.u.



Computed, not measured: a geometry-optimized Tm2Si4AgPt3 structure at the PBE-GGA level of DFT.

Geometry as POSCAR:
```
Tm2Si4AgPt3
1.0
-1.494 0.507 -3.861
-3.892 -0.333 1.463
-0.313 9.926 1.426
Si Tm Ag Pt
4 2 1 3
Direct
0.500 0.500 0.000
0.500 0.000 0.642
0.000 0.500 0.358
0.000 0.000 0.000
0.000 0.500 0.753
0.500 0.000 0.247
0.500 0.500 0.500
0.000 0.500 0.122
0.500 0.000 0.878
0.000 0.000 0.500
```

Computed properties:
Its calculated volume is 175 Å³ per cell. The formation energy without anion corrections is -0.889 eV per atom.



Computed, not measured: a geometry-optimized Tb2PmNdEr2 structure at the PBE-GGA level of DFT.

Geometry as POSCAR:
```
Tb2PmNdEr2
1.0
-0.252 3.082 -1.405
-2.271 -2.746 -5.616
-16.565 1.392 6.018
Pm Nd Tb Er
2 2 4 4
Direct
0.500 0.500 0.500
0.000 0.000 0.000
0.000 0.000 0.500
0.500 0.500 0.000
0.500 0.232 0.652
0.500 0.768 0.348
0.000 0.268 0.152
0.000 0.732 0.848
0.500 0.267 0.320
0.500 0.733 0.680
0.000 0.233 0.820
0.000 0.767 0.180
```

Computed properties:
Its calculated volume is 399 Å³ per cell. Its formation energy is 1.7 eV/f.u.



Computed, not measured: a geometry-optimized ZnIn3Au12 structure at the PBE-GGA level of DFT.

Geometry as POSCAR:
```
ZnIn3Au12
1.0
4.207 0.000 0.000
0.000 4.207 0.000
0.000 0.000 16.777
Au In Zn
12 3 1
Direct
0.500 0.500 0.000
0.000 0.500 0.372
0.500 0.000 0.883
0.500 0.000 0.117
0.000 0.500 0.628
0.500 0.000 0.628
0.500 0.500 0.245
0.000 0.500 0.883
0.500 0.500 0.755
0.000 0.500 0.117
0.500 0.500 0.500
0.500 0.000 0.372
0.000 0.000 0.755
0.000 0.000 0.500
0.000 0.000 0.245
0.000 0.000 0.000
```

Computed properties:
Its calculated volume is 297 Å³ per cell. The energy relative to the lowest polymorph listed for this composition comes out at 18 meV/atom. Its formation energy is -1.6 eV/f.u.



Computed, not measured: a geometry-optimized Zr2TeAs structure at the PBE-GGA level of DFT.

Geometry as POSCAR:
```
Zr2TeAs
1.0
-4.172 -1.116 2.331
-4.303 1.513 -1.811
-3.114 -3.246 -1.962
Te Zr As
1 2 1
Direct
0.500 0.500 0.500
0.250 0.250 0.250
0.750 0.750 0.750
0.000 0.000 0.000
```

Computed properties:
Its calculated volume is 84 Å³ per cell. The energy relative to the lowest polymorph listed for this composition comes out at 196 meV/atom. The formation energy without anion corrections is -0.775 eV per atom.



Computed, not measured: a geometry-optimized Cd2SbBr structure at the PBE-GGA level of DFT.

Geometry as POSCAR:
```
Cd2SbBr
1.0
-6.152 -0.341 4.145
-7.322 -0.733 1.000
2.062 -4.453 -0.213
Cd Sb Br
2 1 1
Direct
0.527 0.527 0.527
0.973 0.973 0.973
0.750 0.750 0.750
0.250 0.250 0.250
```

Computed properties:
Its calculated volume is 113 Å³ per cell. The energy relative to the lowest polymorph listed for this composition comes out at 350 meV/atom. The formation energy without anion corrections is 0.024 eV per atom.



Computed, not measured: a geometry-optimized Pr4NiBi2 structure at the PBE-GGA level of DFT.

Geometry as POSCAR:
```
Pr4NiBi2
1.0
7.190 0.000 -0.202
0.000 6.657 0.000
-2.866 0.000 9.219
Ni Bi Pr
2 4 8
Direct
0.167 0.750 0.166
0.833 0.250 0.834
0.281 0.250 0.457
0.719 0.750 0.543
0.229 0.250 0.919
0.771 0.750 0.081
0.483 0.494 0.227
0.483 0.006 0.227
0.061 0.750 0.873
0.517 0.506 0.773
0.939 0.250 0.127
0.884 0.250 0.579
0.517 0.994 0.773
0.116 0.750 0.421
```

Computed properties:
Its calculated volume is 437 Å³ per cell. Its formation energy is -3.7 eV/f.u.



Computed, not measured: a geometry-optimized CsHfSbI2 structure at the PBE-GGA level of DFT.

Geometry as POSCAR:
```
CsHfSbI2
1.0
6.654 0.000 0.000
0.000 6.654 0.000
0.000 0.000 6.419
I Hf Sb Cs
2 1 1 1
Direct
0.500 0.000 0.000
0.000 0.500 0.000
0.500 0.500 0.500
0.000 0.000 0.500
0.000 0.000 0.000
```

Computed properties:
Its calculated volume is 284 Å³ per cell. The energy relative to the lowest polymorph listed for this composition comes out at 1814 meV/atom. The formation energy without anion corrections is 1.223 eV per atom.



Computed, not measured: a geometry-optimized La2SnI structure at the PBE-GGA level of DFT.

Geometry as POSCAR:
```
La2SnI
1.0
4.704 0.000 0.000
-2.352 4.063 -0.273
0.000 -2.207 7.636
La Sn I
2 1 1
Direct
0.758 0.516 0.774
0.242 0.484 0.226
0.500 0.000 0.000
0.000 0.000 0.500
```

Computed properties:
Its calculated volume is 143 Å³ per cell. The energy relative to the lowest polymorph listed for this composition comes out at 0 meV/atom. The formation energy without anion corrections is -0.982 eV per atom.



Computed, not measured: a geometry-optimized LaPI2N structure at the PBE-GGA level of DFT.

Geometry as POSCAR:
```
LaPI2N
1.0
-3.616 0.898 5.368
-5.097 -2.817 -2.962
1.221 -3.731 1.447
P I La N
1 2 1 1
Direct
0.500 0.500 0.500
0.000 0.500 0.000
0.500 0.000 0.000
0.000 0.000 0.000
0.000 0.000 0.500
```

Computed properties:
Its calculated volume is 179 Å³ per cell. The energy relative to the lowest polymorph listed for this composition comes out at 368 meV/atom. The formation energy without anion corrections is 0.321 eV per atom.



Computed, not measured: a geometry-optimized LaCdP2 structure at the PBE-GGA level of DFT.

Geometry as POSCAR:
```
LaCdP2
1.0
-2.027 -8.878 -0.986
1.026 -8.756 -2.486
0.803 -9.080 0.896
P Cd La
2 1 1
Direct
0.266 0.266 0.266
0.979 0.979 0.979
0.513 0.513 0.513
0.741 0.741 0.741
```

Computed properties:
Its calculated volume is 90 Å³ per cell. The energy relative to the lowest polymorph listed for this composition comes out at 559 meV/atom. Its formation energy is -0.3 eV/f.u.